1.
Density functional theory data (PBE) for Na2CaGa9 after structural relaxation.

Output
- Calculated volume: 249.8 Å³ per cell
- DFT formation energy: -170 meV per atom
- Total DFT energy (no corrections): -2.827 eV per atom
- SG: R-3m

Unit cell a=9.624 b=9.624 c=9.624 alpha=34.10 beta=34.10 gamma=34.10
Sites, in units of the cell vectors:
Na  0.143  0.143  0.143
Na  0.857  0.857  0.857
Ca  0.000  0.000  0.000
Ga  0.075  0.589  0.589
Ga  0.337  0.337  0.337
Ga  0.411  0.411  0.925
Ga  0.411  0.925  0.411
Ga  0.500  0.500  0.500
Ga  0.589  0.075  0.589
Ga  0.589  0.589  0.075
Ga  0.663  0.663  0.663
Ga  0.925  0.411  0.411

***

2.
Density functional theory data (PBE) for Sm2HfGeN5 after structural relaxation.

Output
- Calculated volume: 236.6 Å³ per cell
- Total DFT energy (no corrections): -8.297 eV per atom
- Uncorrected formation energy: -1005 meV per atom
- SG: Cmc2_1

Unit cell a=7.168 b=7.168 c=10.294 alpha=90.00 beta=90.00 gamma=153.42
Sites, in units of the cell vectors:
Sm  0.118  0.882  0.500
Sm  0.131  0.869  0.080
Sm  0.869  0.131  0.580
Sm  0.882  0.118  0.000
Hf  0.219  0.781  0.797
Hf  0.781  0.219  0.297
Ge  0.494  0.506  0.268
Ge  0.506  0.494  0.768
N  0.054  0.946  0.841
N  0.290  0.710  0.440
N  0.301  0.699  0.160
N  0.370  0.630  0.802
N  0.498  0.502  0.087
N  0.502  0.498  0.587
N  0.630  0.370  0.302
N  0.699  0.301  0.660
N  0.710  0.290  0.940
N  0.946  0.054  0.341

***

3.
Density functional theory data (PBE) for Ba2HPt after structural relaxation.

Output
- Calculated volume: 109.2 Å³ per cell
- Total DFT energy (no corrections): -3.737 eV per atom
- SG: P4/mmm

Unit cell a=3.764 b=3.764 c=7.705 alpha=90.00 beta=90.00 gamma=90.00
Sites, in units of the cell vectors:
Ba  0.000  0.000  0.246
Ba  0.000  0.000  0.754
H  0.500  0.500  0.500
Pt  0.500  0.500  0.000

***

4.
Density functional theory data (PBE) for PmPr4Tm2Sc after structural relaxation.

Output
- Calculated volume: 262.9 Å³ per cell
- DFT formation energy: 98 meV per atom
- Total DFT energy (no corrections): -4.795 eV per atom
- SG: P4/mmm

Unit cell a=5.899 b=5.899 c=7.556 alpha=90.00 beta=90.00 gamma=90.00
Sites, in units of the cell vectors:
Pm  0.000  0.000  0.000
Pr  0.000  0.500  0.248
Pr  0.000  0.500  0.752
Pr  0.500  0.000  0.248
Pr  0.500  0.000  0.752
Tm  0.000  0.000  0.500
Tm  0.500  0.500  0.500
Sc  0.500  0.500  0.000

***

5.
Density functional theory data (PBE) for YAl2 after structural relaxation.

Output
- Calculated volume: 272.1 Å³ per cell
- DFT formation energy: -189 meV per atom
- Total DFT energy (no corrections): -4.838 eV per atom
- SG: Cmcm

Unit cell a=3.344 b=18.463 c=4.407 alpha=90.00 beta=90.00 gamma=90.00
Sites, in units of the cell vectors:
Y  0.000  0.110  0.250
Y  0.000  0.890  0.750
Y  0.500  0.390  0.750
Y  0.500  0.610  0.250
Al  0.000  0.235  0.750
Al  0.000  0.463  0.250
Al  0.000  0.537  0.750
Al  0.000  0.765  0.250
Al  0.500  0.037  0.750
Al  0.500  0.265  0.250
Al  0.500  0.735  0.750
Al  0.500  0.963  0.250

***

6.
Density functional theory data (PBE) for Pm3PrY2 after structural relaxation.

Output
- Calculated volume: 408.5 Å³ per cell
- DFT formation energy: -2 meV per atom
- Total DFT energy (no corrections): -5.329 eV per atom
- SG: P-1

Unit cell a=7.327 b=7.328 c=9.039 alpha=78.23 beta=78.26 gamma=60.01
Sites, in units of the cell vectors:
Pm  0.139  0.138  0.166
Pm  0.251  0.749  0.499
Pm  0.361  0.861  0.835
Pm  0.639  0.139  0.165
Pm  0.749  0.251  0.501
Pm  0.861  0.862  0.834
Pr  0.249  0.251  0.502
Pr  0.751  0.749  0.498
Y  0.141  0.638  0.165
Y  0.360  0.363  0.835
Y  0.640  0.637  0.165
Y  0.859  0.362  0.835